Entry 1:
Entry from the Alexandria database: CoSiHg after structural relaxation (PBEsol).

The size of the total moment comes out at 0.000 μB per atom. The calculation puts the total DFT energy (no corrections) at -4.60 eV/atom. For the density of states at the Fermi level, the calculation gives 3.4 states/eV per cell. The space-group type is Imm2 (44).

Lattice parameters (Å, degrees): 2.6603 3.6586 10.5537 90.00 90.00 90.00
With the nearest neighbours (Å) after each atom.
Sites, in units of the cell vectors:
Co1 0.0000 0.0000 0.0000  4 Si 2.26
Co2 0.5000 0.5000 0.5000  4 Si 2.26
Si1 0.0000 0.0000 0.4945  4 Co 2.26
Si2 0.5000 0.5000 0.9945  4 Co 2.26
Hg1 0.0000 0.0000 0.2452  1 Co 2.59, 1 Si 2.63, 2 Hg 2.66
Hg2 0.5000 0.5000 0.7452  1 Co 2.59, 1 Si 2.63, 2 Hg 2.66


Entry 2:
Entry from the Alexandria database: RbMg after structural relaxation (PBEsol).

Its formation enthalpy at 0 K is 0.30 eV/atom. The size of the total moment comes out at 0.000 μB per atom. For the density of states at the Fermi level, the calculation gives 2.9 states/eV per cell. The space-group type is P-3m1 (164).

Lattice parameters (Å, degrees): 4.6827 4.6827 11.2444 90.00 90.00 120.00
With the nearest neighbours (Å) after each atom.
Sites, in units of the cell vectors:
Rb1 0.3333 0.6667 0.3113  4 Mg 3.89-4.21
Rb2 0.6667 0.3333 0.6887  4 Mg 3.89-4.21
Mg1 0.3333 0.6667 0.9368  3 Mg 3.05
Mg2 0.6667 0.3333 0.0632  3 Mg 3.05


Entry 3:
Entry from the Alexandria database: Zn2GeIrBr after structural relaxation (PBEsol).

The size of the total moment comes out at 0.000 μB per atom. The calculation puts the total DFT energy (no corrections) at -3.26 eV/atom. For the density of states at the Fermi level, the calculation gives 3.2 states/eV per cell. The space-group type is P4/mmm (123).

Lattice parameters (Å, degrees): 4.7420 4.7420 5.0291 90.00 90.00 90.00
With the nearest neighbours (Å) after each atom.
Sites, in units of the cell vectors:
Zn1 0.0000 0.5000 0.0000  2 Ir 2.37
Zn2 0.5000 0.0000 0.0000  2 Ir 2.37
Ge1 0.0000 0.0000 0.5000  4 Br 3.35, 8 Zn 3.46
Ir1 0.5000 0.5000 0.0000  4 Zn 2.37, 2 Br 2.51
Br1 0.5000 0.5000 0.5000  2 Ir 2.51


Entry 4:
Entry from the Alexandria database: LaCoGeB2 after structural relaxation (PBEsol).

Its formation enthalpy at 0 K is 0.74 eV/atom. The size of the total moment comes out at 0.000 μB per atom. For the density of states at the Fermi level, the calculation gives 3.4 states/eV per cell. The space-group type is P4/mmm (123).

Lattice parameters (Å, degrees): 4.1755 4.1755 4.4109 90.00 90.00 90.00
With the nearest neighbours (Å) after each atom.
Sites, in units of the cell vectors:
La1 0.0000 0.0000 0.0000  4 Co 2.95, 8 B 3.04
Co1 0.5000 0.5000 0.0000  2 Ge 2.21
Ge1 0.5000 0.5000 0.5000  4 B 2.09, 2 Co 2.21
B1 0.0000 0.5000 0.5000  2 Ge 2.09
B2 0.5000 0.0000 0.5000  2 Ge 2.09


Entry 5:
Entry from the Alexandria database: AgTe2WN after structural relaxation (PBEsol).

The value obtained for the energy above the most stable polymorph in this dataset is 0.0 meV per atom. The size of the total moment comes out at 0.000 μB per atom. For the density of states at the Fermi level, the calculation gives 3.7 states/eV per cell. The space-group type is P4/mmm (123).

Lattice parameters (Å, degrees): 5.3805 5.3805 3.7787 90.00 90.00 90.00
With the nearest neighbours (Å) after each atom.
Sites, in units of the cell vectors:
Ag1 0.0000 0.0000 0.0000  8 Te 3.29
Te1 0.0000 0.5000 0.5000  2 W 2.69
Te2 0.5000 0.0000 0.5000  2 W 2.69
W1 0.5000 0.5000 0.5000  2 N 1.89
N1 0.5000 0.5000 0.0000  2 W 1.89


Entry 6:
Entry from the Alexandria database: TlRhPb after structural relaxation (PBEsol).

Its formation enthalpy at 0 K is 0.04 eV/atom. The size of the total moment comes out at 0.000 μB per atom. For the density of states at the Fermi level, the calculation gives 5.8 states/eV per cell. The space-group type is F-43m (216).

Lattice parameters (Å, degrees): 6.4958 6.4958 6.4958 90.00 90.00 90.00
With the nearest neighbours (Å) after each atom.
Sites, in units of the cell vectors:
Tl1 0.0000 0.0000 0.0000  4 Rh 2.81
Tl2 0.0000 0.5000 0.5000  4 Rh 2.81
Tl3 0.5000 0.0000 0.5000  4 Rh 2.81
Tl4 0.5000 0.5000 0.0000  4 Rh 2.81
Rh1 0.2500 0.2500 0.2500  4 Tl 2.81, 4 Pb 2.81
Rh2 0.2500 0.7500 0.7500  4 Tl 2.81, 4 Pb 2.81
Rh3 0.7500 0.2500 0.7500  4 Tl 2.81, 4 Pb 2.81
Rh4 0.7500 0.7500 0.2500  4 Tl 2.81, 4 Pb 2.81
Pb1 0.0000 0.0000 0.5000  4 Rh 2.81
Pb2 0.0000 0.5000 0.0000  4 Rh 2.81
Pb3 0.5000 0.0000 0.0000  4 Rh 2.81
Pb4 0.5000 0.5000 0.5000  4 Rh 2.81